# 1
IrPb | GGA-PBE | optimized geometry

abc: 3.208 5.402 4.660
angles: 90.00 90.00 90.00
Space group Pmmn (No. 59, origin choice 2)
Inequivalent atoms, fractional coordinates:
Ir (0.250, 0.250, 0.146) x2
Pb (0.250, 0.750, 0.349) x2

Computed properties:
ΔE_f in meV per atom: 540
E in eV for the cell shown: -23.0

# 2
CoNiCl2 | GGA-PBE | optimized geometry

abc: 5.236 5.236 10.567
angles: 90.00 90.00 90.00
Space group I-42d (No. 122)
Inequivalent atoms, fractional coordinates:
Co (0.000, 0.000, 0.000) x4
Ni (0.000, 0.000, 0.500) x4
Cl (0.249, 0.250, 0.625) x8

Computed properties:
Formation energy (no corrections) in eV/atom: 0.0104
Polymorph energy (0 for the lowest one) in kJ/mol of atoms: 15.7
E in eV for the cell shown: -66.2

# 3
SrAs2Pd5Pb | GGA-PBE | optimized geometry

abc: 4.299 4.299 10.895
angles: 90.00 90.00 90.00
Space group P4/mmm (No. 123)
Inequivalent atoms, fractional coordinates:
Sr (0.000, 0.000, 0.000) x1
As (0.500, 0.500, 0.218) x2
Pd (0.000, 0.500, 0.329) x4
Pd (0.500, 0.500, 0.000) x1
Pb (0.000, 0.000, 0.500) x1

Computed properties:
ΔE_f in meV per atom: -416
E in eV for the cell shown: -44.4

# 4
VOs5 | GGA-PBE | optimized geometry

abc: 3.840 11.602 3.837
angles: 90.00 90.00 90.00
Space group Cmmm (No. 65)
Inequivalent atoms, fractional coordinates:
V (0.000, 0.000, 0.000) x2
Os (0.000, 0.168, 0.500) x4
Os (0.000, 0.331, 0.000) x4
Os (0.000, 0.500, 0.500) x2

Computed properties:
Polymorph energy (0 for the lowest one) in kJ/mol of atoms: 0.0
ΔE_f in meV per atom: 7
E in eV for the cell shown: -130.5